# 1
Here is a relaxed structure of AlHgI6 from Alexandria. Energies are from PBE.

Cell and atoms, written as extended XYZ:
```
8
Lattice="-6.625 -3.766 -1.384 6.587 -1.389 -3.829 1.777 -2.576 7.098" Properties=species:S:1:pos:R:3 pbc="T T T"
Al 0.870 -3.865 0.942
I 3.230 -5.279 1.257
I 0.558 -4.836 -1.684
I 1.181 -2.895 3.568
I -0.609 -5.970 1.968
I 2.349 -1.761 -0.083
I -1.490 -2.452 0.627
Hg 0.000 0.000 0.000
```

Symmetry: No. 12
E_form (uncorrected): -219 kJ/mol of formula units
DOS at the Fermi energy: 0.95 states/eV/cell

***

# 2
Here is a relaxed structure of AlInHg2I from Alexandria. Energies are from PBE.

Cell and atoms, written as extended XYZ:
```
5
Lattice="-3.507 1.392 3.741 3.552 -1.184 3.771 1.931 5.289 -0.158" Properties=species:S:1:pos:R:3 pbc="T T T"
I 0.988 2.749 3.677
Hg 1.776 -0.592 1.885
Hg -1.754 0.696 1.871
In 0.965 2.645 -0.079
Al 0.000 0.000 0.000
```

Symmetry: No. 123
E_form (uncorrected): -34 kJ/mol of formula units
DOS at the Fermi energy: 0.89 states/eV/cell

***

# 3
Here is a relaxed structure of AlInHgI4 from Alexandria. Energies are from PBE.

Cell and atoms, written as extended XYZ:
```
14
Lattice="-4.253 0.362 7.083 -1.406 -8.132 0.535 7.808 -3.083 7.394" Properties=species:S:1:pos:R:3 pbc="T T T"
I 2.831 -5.700 8.624
I 2.435 -6.346 12.755
I -0.443 -7.943 10.110
I 3.485 -9.476 10.342
I 2.592 -2.911 4.903
I -0.286 -4.507 2.258
I -0.681 -5.154 6.389
I -1.335 -1.377 4.671
Al 0.164 -3.508 4.622
Al 1.986 -7.345 10.391
In 6.044 -4.714 8.743
In -3.894 -6.139 6.270
Hg 0.693 -10.260 13.610
Hg 1.457 -0.593 1.403
```

Symmetry: No. 12
E_form (uncorrected): -339 kJ/mol of formula units
DOS at the Fermi energy: 0.00 states/eV/cell

***

# 4
Here is a relaxed structure of KAl2HgI8 from Alexandria. Energies are from PBE.

Cell and atoms, written as extended XYZ:
```
12
Lattice="-1.749 4.478 6.981 -6.558 -2.186 4.905 2.691 -4.692 8.830" Properties=species:S:1:pos:R:3 pbc="T T T"
I -3.724 2.123 10.597
I -6.169 -1.250 9.560
I -2.764 -2.244 13.652
I -1.892 -4.523 10.119
I -6.183 0.169 13.780
I 0.567 -2.569 6.936
I 0.553 -1.150 11.157
I -2.852 -0.156 7.065
Al -0.951 -1.053 5.583
Al -4.665 -1.347 15.133
Hg -2.808 -1.200 10.358
K 0.000 0.000 0.000
```

Symmetry: No. 148
E_form (uncorrected): -761 kJ/mol of formula units
DOS at the Fermi energy: 3.99 states/eV/cell

***

# 5
Here is a relaxed structure of KAlHg2I4 from Alexandria. Energies are from PBE.

Cell and atoms, written as extended XYZ:
```
8
Lattice="-2.779 -3.223 8.422 -2.031 -8.396 -3.836 7.121 4.294 -1.374" Properties=species:S:1:pos:R:3 pbc="T T T"
I 5.219 2.729 -1.055
I -1.326 -6.738 0.436
I 1.876 -5.020 2.438
I -1.702 -5.450 4.500
K 3.198 -3.082 5.084
Hg 3.594 -5.665 -1.008
Hg 2.217 -0.723 0.440
Al -0.186 -6.524 2.727
```

Symmetry: No. 1
E_form (uncorrected): -514 kJ/mol of formula units
DOS at the Fermi energy: 0.00 states/eV/cell

***

# 6
Here is a relaxed structure of KAlHgI4 from Alexandria. Energies are from PBE.

Cell and atoms, written as extended XYZ:
```
14
Lattice="-4.753 -7.262 0.692 0.113 -6.053 -7.975 5.138 -8.416 1.740" Properties=species:S:1:pos:R:3 pbc="T T T"
Hg 0.192 -7.839 1.216
Hg 2.569 -4.208 0.870
I -2.284 -9.110 -1.751
I -2.328 -11.851 -4.901
I -0.079 -8.416 -5.228
I -0.402 -5.124 -1.754
I 2.826 -9.880 -0.642
I 2.782 -12.621 -3.792
I 0.577 -13.316 -0.315
I 0.900 -16.608 -3.788
Al 2.831 -12.412 -1.261
Al -2.333 -9.320 -4.282
K 2.626 -7.235 -3.117
K 0.000 0.000 0.000
```

Symmetry: No. 74
E_form (uncorrected): -529 kJ/mol of formula units
DOS at the Fermi energy: 0.00 states/eV/cell

***

# 7
Here is a relaxed structure of NaAlHg2I4 from Alexandria. Energies are from PBE.

Cell and atoms, written as extended XYZ:
```
8
Lattice="-1.769 1.257 -8.688 4.684 -7.336 -2.034 -5.638 0.270 5.841" Properties=species:S:1:pos:R:3 pbc="T T T"
Al -0.514 -4.346 -5.137
I -2.361 -3.824 -3.427
I -3.911 -0.338 4.140
I 1.643 -4.813 -3.817
I -0.336 -2.328 -6.721
Hg -1.972 -1.307 0.224
Hg -1.728 -6.348 -0.549
Na -4.955 -2.076 -3.865
```

Symmetry: No. 1
E_form (uncorrected): -459 kJ/mol of formula units
DOS at the Fermi energy: 0.00 states/eV/cell

***

# 8
Here is a relaxed structure of NaAlHgI4 from Alexandria. Energies are from PBE.

Cell and atoms, written as extended XYZ:
```
14
Lattice="7.026 1.003 0.732 4.734 11.681 2.320 4.734 5.768 10.419" Properties=species:S:1:pos:R:3 pbc="T T T"
Al 8.811 8.965 9.649
Al 7.682 9.487 3.822
I 11.779 15.461 11.770
I 9.447 11.256 8.700
I 10.222 9.818 4.064
I 6.364 11.297 5.143
I 10.128 7.155 8.328
I 7.045 7.196 4.771
I 4.714 2.991 1.701
I 6.271 8.634 9.407
Hg 5.880 3.385 5.576
Hg 2.367 2.884 5.210
Na 4.734 8.725 6.369
Na 0.000 0.000 0.000
```

Symmetry: No. 12
E_form (uncorrected): -504 kJ/mol of formula units
DOS at the Fermi energy: 0.00 states/eV/cell

***

# 9
Here is a relaxed structure of AlHgIO2 from Alexandria. Energies are from PBE.

Cell and atoms, written as extended XYZ:
```
5
Lattice="-1.003 -1.700 -3.737 1.547 -3.720 1.277 -5.872 -1.644 2.325" Properties=species:S:1:pos:R:3 pbc="T T T"
Hg 0.000 0.000 0.000
O -0.502 -0.850 -1.869
O 0.774 -1.860 0.639
I -2.936 -0.822 1.162
Al -2.664 -3.532 -0.068
```

ΔE to the lowest computed polymorph: 1197 meV/atom
Symmetry: No. 123
E_form (uncorrected): 211 kJ/mol of formula units
DOS at the Fermi energy: 8.28 states/eV/cell

***

# 10
Here is a relaxed structure of AlHgI2O from Alexandria. Energies are from PBE.

Cell and atoms, written as extended XYZ:
```
5
Lattice="-1.779 -3.822 4.417 3.038 -4.549 -2.713 2.811 0.793 1.818" Properties=species:S:1:pos:R:3 pbc="T T T"
Hg 2.035 -3.789 1.761
Al 0.000 0.000 0.000
I 1.519 -2.275 -1.356
I -0.889 -1.911 2.209
O 1.406 0.396 0.909
```

ΔE to the lowest computed polymorph: 0 meV/atom
Symmetry: No. 123
E_form (uncorrected): -376 kJ/mol of formula units
DOS at the Fermi energy: 2.24 states/eV/cell

***

# 11
Here is a relaxed structure of AlHgIO2 from Alexandria. Energies are from PBE.

Cell and atoms, written as extended XYZ:
```
5
Lattice="3.886 0.000 0.000 0.000 3.886 0.000 0.000 0.000 6.142" Properties=species:S:1:pos:R:3 pbc="T T T"
Hg 1.943 1.943 3.071
I 0.000 0.000 3.071
O 1.943 0.000 0.000
O 0.000 1.943 0.000
Al 0.000 0.000 0.000
```

ΔE to the lowest computed polymorph: 0 meV/atom
Symmetry: No. 123
E_form (uncorrected): -367 kJ/mol of formula units
DOS at the Fermi energy: 2.07 states/eV/cell

***

# 12
Here is a relaxed structure of AlHgI2O from Alexandria. Energies are from PBE.

Cell and atoms, written as extended XYZ:
```
5
Lattice="-5.788 -1.484 1.093 1.206 -0.325 5.944 -0.951 4.012 0.412" Properties=species:S:1:pos:R:3 pbc="T T T"
I -2.894 -0.742 0.546
I 0.603 -0.162 2.972
Hg 0.000 0.000 0.000
Al -2.766 1.102 3.724
O -0.475 2.006 0.206
```

ΔE to the lowest computed polymorph: 1002 meV/atom
Symmetry: No. 123
E_form (uncorrected): 108 kJ/mol of formula units
DOS at the Fermi energy: 6.38 states/eV/cell

***

# 13
Here is a relaxed structure of AlHgPb2I from Alexandria. Energies are from PBE.

Cell and atoms, written as extended XYZ:
```
5
Lattice="6.083 0.000 0.000 0.000 5.931 0.000 0.000 0.000 6.083" Properties=species:S:1:pos:R:3 pbc="T T T"
Pb 0.000 0.000 3.041
Pb 3.041 0.000 0.000
Hg 3.041 2.965 3.041
I 0.000 0.000 0.000
Al 0.000 2.965 0.000
```

Symmetry: No. 123
E_form (uncorrected): 357 kJ/mol of formula units
DOS at the Fermi energy: 5.21 states/eV/cell

***

# 14
Here is a relaxed structure of RbAl2HgI from Alexandria. Energies are from PBE.

Cell and atoms, written as extended XYZ:
```
5
Lattice="-6.497 -0.340 1.580 1.504 -3.248 5.485 0.499 5.804 3.300" Properties=species:S:1:pos:R:3 pbc="T T T"
Rb 0.000 0.000 0.000
Al 0.250 2.902 1.650
Al -3.248 -0.170 0.790
Hg 0.752 -1.624 2.742
I -2.247 1.108 5.182
```

Symmetry: No. 123
E_form (uncorrected): 419 kJ/mol of formula units
DOS at the Fermi energy: 3.05 states/eV/cell

***

# 15
Here is a relaxed structure of AlHgSbI2 from Alexandria. Energies are from PBE.

Cell and atoms, written as extended XYZ:
```
5
Lattice="5.634 0.000 0.000 0.000 5.634 0.000 0.000 0.000 5.488" Properties=species:S:1:pos:R:3 pbc="T T T"
I 0.000 2.817 0.000
I 2.817 0.000 0.000
Sb 0.000 0.000 2.744
Hg 2.817 2.817 2.744
Al 0.000 0.000 0.000
```

ΔE to the lowest computed polymorph: 0 meV/atom
Symmetry: No. 123
E_form (uncorrected): 51 kJ/mol of formula units
DOS at the Fermi energy: 2.41 states/eV/cell

***

# 16
Here is a relaxed structure of AlHgSbI2 from Alexandria. Energies are from PBE.

Cell and atoms, written as extended XYZ:
```
5
Lattice="-4.011 4.016 2.368 -4.277 -1.926 -3.978 -1.680 -3.839 3.666" Properties=species:S:1:pos:R:3 pbc="T T T"
Sb -0.840 -1.920 1.833
Hg 0.000 0.000 0.000
Al -4.984 -0.875 1.028
I -2.006 2.008 1.184
I -2.139 -0.963 -1.989
```

ΔE to the lowest computed polymorph: 379 meV/atom
Symmetry: No. 123
E_form (uncorrected): 234 kJ/mol of formula units
DOS at the Fermi energy: 2.11 states/eV/cell

***

# 17
Here is a relaxed structure of AlHgSb2I from Alexandria. Energies are from PBE.

Cell and atoms, written as extended XYZ:
```
5
Lattice="-3.538 -3.340 -2.278 4.039 -3.058 -1.788 -0.195 -3.051 4.777" Properties=species:S:1:pos:R:3 pbc="T T T"
Sb -1.769 -1.670 -1.139
Sb 2.019 -1.529 -0.894
Hg 0.153 -4.725 0.356
I -0.098 -1.525 2.389
Al 0.000 0.000 0.000
```

ΔE to the lowest computed polymorph: 0 meV/atom
Symmetry: No. 123
E_form (uncorrected): 174 kJ/mol of formula units
DOS at the Fermi energy: 4.12 states/eV/cell

***

# 18
Here is a relaxed structure of AlSn2HgI from Alexandria. Energies are from PBE.

Cell and atoms, written as extended XYZ:
```
5
Lattice="-0.621 4.918 -2.218 -3.150 1.482 4.168 4.579 1.843 2.805" Properties=species:S:1:pos:R:3 pbc="T T T"
I 2.289 0.921 1.402
Al 0.000 0.000 0.000
Sn -0.310 2.459 -1.109
Sn -1.575 0.741 2.084
Hg 0.404 4.121 2.377
```

Symmetry: No. 123
E_form (uncorrected): 138 kJ/mol of formula units
DOS at the Fermi energy: 3.27 states/eV/cell

***

# 19
Here is a relaxed structure of AlHgTeI2 from Alexandria. Energies are from PBE.

Cell and atoms, written as extended XYZ:
```
5
Lattice="5.579 0.000 0.000 0.000 5.579 0.000 0.000 0.000 5.474" Properties=species:S:1:pos:R:3 pbc="T T T"
I 0.000 2.790 0.000
I 2.790 0.000 0.000
Te 0.000 0.000 2.737
Hg 2.790 2.790 2.737
Al 0.000 0.000 0.000
```

ΔE to the lowest computed polymorph: 0 meV/atom
Symmetry: No. 123
E_form (uncorrected): -21 kJ/mol of formula units
DOS at the Fermi energy: 1.68 states/eV/cell

***

# 20
Here is a relaxed structure of AlHgTeI2 from Alexandria. Energies are from PBE.

Cell and atoms, written as extended XYZ:
```
5
Lattice="5.953 0.000 0.000 0.000 5.953 0.000 0.000 0.000 5.653" Properties=species:S:1:pos:R:3 pbc="T T T"
I 0.000 2.977 0.000
I 2.977 0.000 0.000
Al 2.977 2.977 2.827
Te 0.000 0.000 2.827
Hg 0.000 0.000 0.000
```

ΔE to the lowest computed polymorph: 368 meV/atom
Symmetry: No. 123
E_form (uncorrected): 156 kJ/mol of formula units
DOS at the Fermi energy: 2.95 states/eV/cell